1.
Below is a geometry-optimized RbBaHf2 structure, with properties calculated at the PBE-GGA level.

Cell lengths 13.3673, 13.3673, 13.3673 Å; angles 160.69, 160.69, 27.44 degrees
Atoms (fractional coordinates):
Rb  0.0000  0.0000  0.0000
Rb  0.7500  0.2500  0.5000
Ba  0.2500  0.7500  0.5000
Ba  0.5000  0.5000  0.0000
Hf  0.1291  0.6250  0.0041
Hf  0.3750  0.3791  0.5041
Hf  0.6209  0.1250  0.9959
Hf  0.8750  0.8709  0.4959

Output
Total DFT energy (no corrections)   -4.421 eV per atom
Calculated formation energy   1.278 eV per atom

2.
Below is a geometry-optimized Ge2W structure, with properties calculated at the PBE-GGA level.

Cell lengths 6.4371, 3.4851, 8.6157 Å; angles 90.00, 90.00, 90.00 degrees
Atoms (fractional coordinates):
Ge  0.0630  0.2500  0.1324
Ge  0.1343  0.2500  0.5410
Ge  0.3657  0.7500  0.0410
Ge  0.4370  0.7500  0.6324
Ge  0.5630  0.2500  0.3676
Ge  0.6343  0.2500  0.9590
Ge  0.8657  0.7500  0.4590
Ge  0.9370  0.7500  0.8676
W  0.2494  0.2500  0.8295
W  0.2506  0.7500  0.3295
W  0.7494  0.2500  0.6705
W  0.7506  0.7500  0.1705

Output
Total DFT energy (no corrections)   -7.366 eV per atom
Calculated formation energy   0.030 eV per atom

3.
Below is a geometry-optimized RbNa2GeF8 structure, with properties calculated at the PBE-GGA level.

Cell lengths 4.9237, 5.0686, 7.6438 Å; angles 91.66, 94.38, 90.23 degrees
Atoms (fractional coordinates):
Rb  0.0000  0.0000  0.0000
Na  0.4927  0.4959  0.7133
Na  0.5073  0.5041  0.2867
Ge  0.0000  0.0000  0.5000
F  0.1745  0.8125  0.3341
F  0.2236  0.8638  0.6779
F  0.2415  0.2753  0.4843
F  0.3007  0.4711  0.9941
F  0.6993  0.5289  0.0059
F  0.7585  0.7247  0.5157
F  0.7764  0.1362  0.3221
F  0.8255  0.1875  0.6659

Output
Total DFT energy (no corrections)   -4.415 eV per atom
Uncorrected formation energy   -57.2 kcal/mol of atoms

4.
Below is a geometry-optimized La5Sm2ErSc structure, with properties calculated at the PBE-GGA level.

Cell lengths 10.6900, 10.6900, 10.6900 Å; angles 133.55, 133.55, 67.79 degrees
Atoms (fractional coordinates):
La  0.0000  0.0000  0.0000
La  0.0754  0.5754  0.9401
La  0.1352  0.0754  0.5000
La  0.3648  0.8648  0.9401
La  0.4246  0.3648  0.5000
La  0.5000  0.5000  0.0000
La  0.5754  0.6352  0.5000
La  0.6352  0.1352  0.0599
La  0.8648  0.9246  0.5000
La  0.9246  0.4246  0.0599
Sm  0.1271  0.3729  0.5000
Sm  0.3729  0.8729  0.2458
Sm  0.6271  0.1271  0.7542
Sm  0.8729  0.6271  0.5000
Er  0.2500  0.2500  0.0000
Er  0.7500  0.7500  0.0000
Sc  0.2500  0.7500  0.5000
Sc  0.7500  0.2500  0.5000

Output
Total DFT energy (no corrections)   -4.712 eV per atom
Calculated formation energy   0.285 eV per atom

5.
Below is a geometry-optimized Na3IrF6 structure, with properties calculated at the PBE-GGA level.

Cell lengths 5.9281, 5.9281, 5.9281 Å; angles 60.00, 60.00, 60.00 degrees
Atoms (fractional coordinates):
Na  0.0000  0.0000  0.0000
Na  0.2500  0.2500  0.2500
Na  0.7500  0.7500  0.7500
Ir  0.5000  0.5000  0.5000
F  0.2590  0.2590  0.7410
F  0.2590  0.7410  0.2590
F  0.2590  0.7410  0.7410
F  0.7410  0.2590  0.2590
F  0.7410  0.2590  0.7410
F  0.7410  0.7410  0.2590

Output
Total DFT energy (no corrections)   -4.540 eV per atom
Uncorrected formation energy   -49.2 kcal/mol of atoms

6.
Below is a geometry-optimized CsLiTe structure, with properties calculated at the PBE-GGA level.

Cell lengths 4.8322, 4.8322, 5.6801 Å; angles 90.00, 90.00, 120.00 degrees
Atoms (fractional coordinates):
Cs  0.0000  0.0000  0.0000
Li  0.3333  0.6667  0.5000
Te  0.6667  0.3333  0.5000

Output
Total DFT energy (no corrections)   -2.991 eV per atom
Uncorrected formation energy   -23.5 kcal/mol of atoms

> Which of these has the lowest total DFT energy (no corrections)?

Ge2W

> total DFT energy (no corrections) of number 6 (CsLiTe)?

-2.991 eV per atom